DFT (PBE) results for Al2CoHg after structural relaxation.

Output
Magnetic moment: 0.0 μB per formula unit
ΔH_f (0 K): -0.14 eV per atom
Excess energy over the best structure of this formula in the dataset: 0.067 eV per atom

a = 2.8738 Å, b = 2.8875 Å, c = 7.6719 Å
α = 90.00°, β = 90.00°, γ = 90.00°
Space group Pmmm (No. 47)
Asymmetric unit:
Al1 0.0000 0.0000 0.1840 [2 per cell]
Co1 0.5000 0.5000 0.0000 [1 per cell]
Hg1 0.5000 0.5000 0.5000 [1 per cell]